(1)
First-principles (SCAN) data for CsPt2Se at its PBEsol-relaxed geometry, as listed in the Alexandria database.

Cell lengths 5.443, 5.443, 15.591 Å; angles 90.00, 90.00, 90.00 degrees
Space group I4_1/amd (No. 141, origin choice 2)
Symmetry-distinct sites (fractional):
Cs (0.000, 0.250, 0.375) (multiplicity 4)
Pt (0.000, 0.000, 0.000) (multiplicity 8)
Se (0.000, 0.250, 0.875) (multiplicity 4)

Output
- calculated density (Mg/m³) = 8.7
- ΔE_f (raw) (kJ/mol of formula units) = -180

***

(2)
First-principles (SCAN) data for CsSi2Pt2 at its PBEsol-relaxed geometry, as listed in the Alexandria database.

Cell lengths 4.004, 4.004, 14.670 Å; angles 90.00, 90.00, 90.00 degrees
Space group I4/mmm (No. 139)
Symmetry-distinct sites (fractional):
Cs (0.000, 0.000, 0.000) (multiplicity 2)
Si (0.000, 0.000, 0.342) (multiplicity 4)
Pt (0.000, 0.500, 0.250) (multiplicity 4)

Output
- calculated density (Mg/m³) = 8.2
- ΔE_f (raw) (kJ/mol of formula units) = -291

***

(3)
First-principles (SCAN) data for CsSn2Pt2 at its PBEsol-relaxed geometry, as listed in the Alexandria database.

Cell lengths 4.054, 4.054, 16.695 Å; angles 90.00, 90.00, 90.00 degrees
Space group I4/mmm (No. 139)
Symmetry-distinct sites (fractional):
Cs (0.000, 0.000, 0.000) (multiplicity 2)
Sn (0.000, 0.000, 0.353) (multiplicity 4)
Pt (0.000, 0.500, 0.250) (multiplicity 4)

Output
- VASP energy (Ry per atom) = -3.710
- calculated density (Mg/m³) = 9.2

***

(4)
First-principles (SCAN) data for CsSr3Pt at its PBEsol-relaxed geometry, as listed in the Alexandria database.

Cell lengths 6.079, 6.079, 6.079 Å; angles 90.00, 90.00, 90.00 degrees
Space group Pm-3m (No. 221)
Symmetry-distinct sites (fractional):
Cs (0.000, 0.000, 0.000) (multiplicity 1)
Sr (0.000, 0.500, 0.500) (multiplicity 3)
Pt (0.500, 0.500, 0.500) (multiplicity 1)

Output
- VASP energy (Ry per atom) = -2.598
- calculated density (Mg/m³) = 4.4

***

no.,Fermi-level density of states (states/eV per cell)
1,2.826
2,4.606
3,3.321
4,3.162